This record from the Alexandria database describes an optimized crystal structure of Hf2Tl3O3F4. The functional is PBE.

Formation energy from raw total energies ... -2574.3 meV/atom
Calculated volume ... 17.981 Å³ per atom
Final energy ... -80.26 eV per cell
M_tot ... 0.000 μB/f.u.

Structure (CIF):
```
data_Hf2Tl3O3F4
_chemical_formula_sum 'Hf2 Tl3 O3 F4'
_cell_length_a 12.720
_cell_length_b 12.720
_cell_length_c 12.720
_cell_angle_alpha 161.58
_cell_angle_beta 26.86
_cell_angle_gamma 160.62
_symmetry_space_group_name_H-M 'P 1'
_symmetry_Int_Tables_number 1
_symmetry_space_group_name_Hall 'P 1'
loop_
_atom_site_label
_atom_site_type_symbol
_atom_site_fract_x
_atom_site_fract_y
_atom_site_fract_z
Hf1 Hf 0.083 0.000 0.083
Hf2 Hf 0.917 0.000 0.917
Tl1 Tl 0.236 0.956 0.280
Tl2 Tl 0.485 0.985 0.500
Tl3 Tl 0.676 0.956 0.720
O1 O 0.003 0.003 0.000
O2 O 0.108 0.522 0.586
O3 O 0.937 0.522 0.414
F1 F 0.160 0.994 0.166
F2 F 0.417 0.505 0.912
F3 F 0.593 0.505 0.088
F4 F 0.828 0.994 0.834
```